LaTc2Pt | PBE-GGA | optimized geometry

```
LaTc2Pt
1.0
5.873 0.000 0.000
0.000 8.707 0.000
0.000 0.000 2.803
La Tc Pt
2 4 2
direct
0.000 0.000 0.000
0.500 0.500 0.000
0.250 0.250 0.500
0.250 0.750 0.500
0.750 0.250 0.500
0.750 0.750 0.500
0.000 0.500 0.000
0.500 0.000 0.000
```

Summary:
Magnetization: 0.00 μB/cell
V: 71.67 Å³/f.u.
Uncorrected energy: -7.575 eV/atom
DOS(E_F): 10.9 states/eV per cell